Density functional theory data (PBE) for a relaxed Rb4Dy3USe8 crystal.

## Properties
Formation energy from raw total energies, kJ/mol of formula units: -2459
Electronic total energy, eV/atom: -5.15
SG: No. 166
M_tot, μB/f.u.: 3.010

Unit cell a=9.394 b=9.394 c=9.394 alpha=53.86 beta=53.86 gamma=53.86
Element x y z (fractional)
Rb1 0.000 0.000 0.000
Rb2 0.000 0.500 0.500
Rb3 0.500 0.000 0.500
Rb4 0.500 0.500 0.000
Dy1 0.000 0.000 0.500
Dy2 0.000 0.500 0.000
Dy3 0.500 0.000 0.000
U1 0.500 0.500 0.500
Se1 0.230 0.733 0.733
Se2 0.232 0.232 0.232
Se3 0.267 0.267 0.770
Se4 0.267 0.770 0.267
Se5 0.733 0.230 0.733
Se6 0.733 0.733 0.230
Se7 0.768 0.768 0.768
Se8 0.770 0.267 0.267